[1]
Computed, not measured: a relaxed K4TlAg crystal at the PBE-GGA level of DFT.

Results
As for the density of states at the Fermi level: 5.09 states/eV/f.u. The formation energy comes out at 334 meV per atom. For the energy above the most stable polymorph in this dataset, the calculation gives 352.0 meV/atom. As for the space group: F-43m.

```
K4TlAg
1.0
2.554 -6.511 2.311
-4.167 -6.037 -0.666
1.803 -5.197 -4.898
K Ag Tl
4 1 1
direct
0.375 0.876 0.375
0.375 0.375 0.876
0.876 0.375 0.375
0.375 0.375 0.375
0.000 0.000 0.000
0.750 0.750 0.750
```

[2]
Computed, not measured: a relaxed Na2MgSO4 crystal at the PBE-GGA level of DFT.

Results
The value obtained for the formation energy without anion corrections is -1.34 eV/atom. As for the space group: I-4.

```
Na2MgSO4
1.0
-0.138 3.032 4.398
-3.034 -4.393 -0.234
4.405 -2.825 -1.081
O Mg Na S
4 1 2 1
direct
0.422 0.853 0.793
0.578 0.372 0.431
0.059 0.207 0.628
0.941 0.569 0.147
0.500 0.250 0.750
0.500 0.750 0.250
0.000 0.000 0.000
0.000 0.500 0.500
```

[3]
Computed, not measured: a relaxed ErMn2Ga2C crystal at the PBE-GGA level of DFT.

Results
As for the density of states at the Fermi level: 3.28 states/eV/f.u. The formation energy comes out at -361 meV per atom. As for the space group: P4/mmm.

```
ErMn2Ga2C
1.0
3.895 0.000 0.000
0.000 3.895 0.000
0.000 0.000 5.540
Ga Mn C Er
2 2 1 1
direct
0.500 0.500 0.723
0.500 0.500 0.277
0.500 0.000 0.000
0.000 0.500 0.000
0.000 0.000 0.000
0.000 0.000 0.500
```

[4]
Computed, not measured: a relaxed InCu2Tc crystal at the PBE-GGA level of DFT.

Results
As for the density of states at the Fermi level: 2.90 states/eV/f.u. The formation energy comes out at 291 meV per atom. As for the space group: Pmmm.

```
InCu2Tc
1.0
2.757 0.000 0.000
0.000 3.861 0.000
0.000 0.000 5.671
Cu In Tc
2 1 1
direct
0.000 0.000 0.975
0.000 0.000 0.525
0.500 0.500 0.250
0.500 0.500 0.750
```

[5]
Computed, not measured: a relaxed RbAgCl3 crystal at the PBE-GGA level of DFT.

Results
As for the density of states at the Fermi level: 0.84 states/eV/f.u. The value obtained for the formation energy without anion corrections is -0.90 eV/atom. As for the space group: I-4m2.

```
RbAgCl3
1.0
5.386 0.000 0.000
0.000 5.386 0.000
2.693 2.693 11.780
Ag Rb Cl
2 2 6
direct
0.000 0.000 0.000
0.250 0.750 0.500
0.843 0.343 0.314
0.657 0.157 0.686
0.091 0.833 0.818
0.256 0.256 0.489
0.167 0.909 0.182
0.091 0.349 0.818
0.651 0.909 0.182
0.744 0.744 0.511
```

[6]
Computed, not measured: a relaxed AgSbNF2 crystal at the PBE-GGA level of DFT.

Results
As for the density of states at the Fermi level: 0.09 states/eV/f.u. For the energy above the most stable polymorph in this dataset, the calculation gives 0.0 meV/atom. The value obtained for the formation energy without anion corrections is -0.51 eV/atom. As for the space group: P4/mmm.

```
AgSbNF2
1.0
-1.287 3.974 -1.471
-3.540 -1.853 -1.909
-2.155 0.574 3.438
F N Ag Sb
2 1 1 1
direct
0.500 0.000 0.000
0.000 0.500 0.000
0.000 0.000 0.500
0.500 0.500 0.500
0.000 0.000 0.000
```

[7]
Computed, not measured: a relaxed TbHo2Tm3Te6 crystal at the PBE-GGA level of DFT.

Results
As for the density of states at the Fermi level: 6.14 states/eV/f.u. The value obtained for the formation energy without anion corrections is -1.22 eV/atom. As for the space group: C2/m.

```
TbHo2Tm3Te6
1.0
4.300 0.000 0.000
0.000 8.693 0.249
-2.150 -2.569 9.097
Te Tm Tb Ho
6 3 1 2
direct
0.333 0.416 0.667
0.669 0.081 0.338
0.999 0.254 0.999
0.331 0.919 0.662
0.001 0.746 0.001
0.667 0.584 0.333
0.165 0.832 0.330
0.835 0.168 0.670
0.500 0.500 0.000
0.500 0.000 0.000
0.835 0.669 0.669
0.165 0.331 0.331
```

[8]
Computed, not measured: a relaxed FeCl3 crystal at the PBE-GGA level of DFT.

Results
As for the density of states at the Fermi level: 0.42 states/eV/f.u. The value obtained for the formation energy without anion corrections is 0.32 eV/atom. As for the space group: Fm-3m.

```
FeCl3
1.0
0.000 3.352 3.352
3.352 0.000 3.352
3.352 3.352 0.000
Cl Fe
3 1
direct
0.250 0.250 0.250
0.750 0.750 0.750
0.000 0.000 0.000
0.500 0.500 0.500
```

[9]
Computed, not measured: a relaxed NaHo5Se6 crystal at the PBE-GGA level of DFT.

Results
As for the density of states at the Fermi level: 5.01 states/eV/f.u. The value obtained for the formation energy without anion corrections is -1.72 eV/atom. As for the space group: C2/m.

```
NaHo5Se6
1.0
6.913 -0.109 -1.306
-3.737 5.817 -1.306
0.141 0.253 7.068
Se Ho Na
6 5 1
direct
0.084 0.418 0.252
0.916 0.582 0.748
0.250 0.250 0.754
0.582 0.916 0.748
0.418 0.084 0.252
0.750 0.750 0.246
0.837 0.163 0.500
0.666 0.334 0.000
0.500 0.500 0.500
0.163 0.837 0.500
0.334 0.666 0.000
0.000 0.000 0.000
```

[10]
Computed, not measured: a relaxed K2Pb crystal at the PBE-GGA level of DFT.

Results
As for the density of states at the Fermi level: 1.41 states/eV/f.u. The formation energy comes out at 35 meV per atom. As for the space group: Cmcm.

```
K2Pb
1.0
2.010 -10.958 0.000
2.010 10.958 0.000
0.000 0.000 6.333
K Pb
4 2
direct
0.071 0.929 0.250
0.358 0.642 0.250
0.929 0.071 0.750
0.642 0.358 0.750
0.722 0.278 0.250
0.278 0.722 0.750
```

[11]
Computed, not measured: a relaxed AlTl2Os crystal at the PBE-GGA level of DFT.

Results
As for the density of states at the Fermi level: 1.77 states/eV/f.u. The formation energy comes out at 473 meV per atom. For the energy above the most stable polymorph in this dataset, the calculation gives 233.4 meV/atom. As for the space group: Imm2.

```
AlTl2Os
1.0
-6.939 -0.377 0.642
-6.269 -2.946 -0.848
-1.070 -2.476 3.788
Tl Os Al
2 1 1
direct
0.747 0.747 0.753
0.947 0.947 0.053
0.231 0.231 0.269
0.575 0.575 0.425
```

[12]
Computed, not measured: a relaxed TlGe3P crystal at the PBE-GGA level of DFT.

Results
As for the density of states at the Fermi level: 2.27 states/eV/f.u. The formation energy comes out at 509 meV per atom. For the energy above the most stable polymorph in this dataset, the calculation gives 0.0 meV/atom. As for the space group: Pm-3m.

```
TlGe3P
1.0
-0.084 4.817 -0.981
-3.416 -0.763 -3.452
-3.534 0.623 3.360
Ge Tl P
3 1 1
direct
0.000 0.500 0.000
0.500 0.000 0.000
0.000 0.000 0.500
0.500 0.500 0.500
0.000 0.000 0.000
```

We obtain theoretical density values of 2.75, 2.53, 8.47, 9.35, 2.91, 5.82, 8.53, 3.58, 7.67, 3.40, 11.47, 6.33 g/cm³ for the records listed above, in that order.
We obtain energy values of -1.267, -4.865, -6.724, -5.033, -2.772, -4.314, -5.055, -3.177, -5.477, -1.933, -4.454, -3.817 eV per atom for the records listed above, in that order.